(1)
The following is a PBE calculation of crystalline TlMo2W at its relaxed geometry, from Alexandria via LeMat-Bulk.

Cell: 2.895 4.291 5.840 Å, 90.00 96.26 90.00°
Space group P2/m (No. 10)
One atom of each set of equivalent atoms:
Tl 0.000 0.000 0.000 x1
Mo 0.400 0.500 0.708 x2
W 0.000 0.000 0.500 x1

Output
The calculation puts the energy above the most stable polymorph in this dataset at 0.105 eV/atom. The density of states at the Fermi level is 0.6995 states/eV per atom.

***

(2)
The following is a PBE calculation of crystalline TlMo2W at its relaxed geometry, from Alexandria via LeMat-Bulk.

Cell: 10.250 3.319 4.563 Å, 90.00 116.34 90.00°
Space group Cm (No. 8)
One atom of each set of equivalent atoms:
Tl 0.000 0.000 0.000 x2
Mo 0.004 0.500 0.504 x2
Mo 0.267 0.500 0.267 x2
W 0.234 0.000 0.733 x2

Output
The calculation puts the energy above the most stable polymorph in this dataset at 0.137 eV/atom. The density of states at the Fermi level is 0.9428 states/eV per atom.

***

(3)
The following is a PBE calculation of crystalline TlMo2W at its relaxed geometry, from Alexandria via LeMat-Bulk.

Cell: 4.492 4.492 3.415 Å, 90.00 90.00 90.00°
Space group P4/mmm (No. 123)
One atom of each set of equivalent atoms:
Tl 0.000 0.000 0.000 x1
Mo 0.000 0.500 0.500 x2
W 0.500 0.500 0.000 x1

Output
The calculation puts the energy above the most stable polymorph in this dataset at 0.196 eV/atom. The density of states at the Fermi level is 0.8641 states/eV per atom.

***

(4)
The following is a PBE calculation of crystalline Tl4MoW at its relaxed geometry, from Alexandria via LeMat-Bulk.

Cell: 8.606 8.606 8.606 Å, 90.00 90.00 90.00°
Space group F-43m (No. 216)
One atom of each set of equivalent atoms:
Tl 0.125 0.125 0.125 x16
Mo 0.000 0.000 0.500 x4
W 0.250 0.250 0.750 x4

Output
The density of states at the Fermi level is 0.7428 states/eV per atom.

***

(5)
The following is a PBE calculation of crystalline TlMoW at its relaxed geometry, from Alexandria via LeMat-Bulk.

Cell: 2.842 4.336 8.694 Å, 90.00 90.00 90.00°
Space group Imm2 (No. 44)
One atom of each set of equivalent atoms:
Tl 0.000 0.000 0.000 x2
Mo 0.000 0.000 0.331 x2
W 0.000 0.000 0.670 x2

Output
The calculation puts the energy above the most stable polymorph in this dataset at 0.180 eV/atom. The density of states at the Fermi level is 0.7638 states/eV per atom.

***

(6)
The following is a PBE calculation of crystalline TlMo2W at its relaxed geometry, from Alexandria via LeMat-Bulk.

Cell: 4.102 4.102 8.206 Å, 90.00 90.00 90.00°
Space group I4/mmm (No. 139)
One atom of each set of equivalent atoms:
Tl 0.000 0.000 0.000 x2
Mo 0.000 0.500 0.250 x4
W 0.000 0.000 0.500 x2

Output
The calculation puts the energy above the most stable polymorph in this dataset at 0.236 eV/atom. The density of states at the Fermi level is 0.5254 states/eV per atom.

***

Formation enthalpy at 0 K in eV per atom, matching the order above: 0.54, 0.57, 0.63, 1.61, 0.80, 0.67
M_tot in μB/atom, matching the order above: 0.000, 0.000, 0.000, 0.065, 0.000, 0.000